{
  "formula": "Ti2SnSb2",
  "functional": "PBE",
  "state": "optimized geometry",
  "cell": [[-2.5207, 2.5207, 4.8380], [2.5207, -2.5207, 4.8380], [2.5207, 2.5207, -4.8380]],
  "species": ["Ti", "Ti", "Sn", "Sb", "Sb"],
  "frac_coords": [[0.2500, 0.7500, 0.5000], [0.7500, 0.2500, 0.5000], [0.0000, 0.0000, 0.0000], [0.3564, 0.3564, 0.0000], [0.6436, 0.6436, 0.0000]],
  "formation_energy_uncorrected_ev_per_fu": -0.1,
  "magnetic_moment_mub_per_atom": 0.000,
  "crystal_system": "tetragonal",
  "density_g_cm3": 6.18,
  "energy_ev_per_atom": -5.62,
  "space_group": "I4/mmm"
}